Here is crystalline Mn2CuSi at its relaxed geometry from the Alexandria database. Energies are from PBE-GGA.

Summary:
Space-group type: R-3m (166)
Crystal system: trigonal
Size of the total moment, Bohr magnetons per cell: 2.7
Formation energy from raw total energies, eV/atom: 0.06
Calculated volume, Å³ per cell: 47

extended XYZ file:
```
4
Lattice="8.2788 0.0019 0.0011 7.8777 2.5457 0.0011 7.8777 1.2422 2.2220" Properties=species:S:1:pos:R:3 pbc="T T T"
Cu 18.0257 2.8423 1.6682
Mn 23.9326 3.7737 2.2149
Si 6.0086 0.9474 0.5561
Mn 12.1188 1.9109 1.1215
```

***

Here is crystalline Mn3CuSi at its relaxed geometry from the Alexandria database. Energies are from PBE-GGA.

Summary:
Space-group type: Pm-3m (221)
Crystal system: cubic
Size of the total moment, Bohr magnetons per cell: 11.3
Formation energy from raw total energies, eV/atom: 0.95
Calculated volume, Å³ per cell: 90

extended XYZ file:
```
5
Lattice="4.4775 0.0000 0.0000 0.0000 4.4775 0.0000 0.0000 0.0000 4.4775" Properties=species:S:1:pos:R:3 pbc="T T T"
Mn 0.0000 0.0000 2.2388
Mn 2.2388 0.0000 0.0000
Mn 0.0000 2.2388 0.0000
Si 2.2388 2.2388 2.2388
Cu 0.0000 0.0000 0.0000
```

***

Here is crystalline Mn3CuSi at its relaxed geometry from the Alexandria database. Energies are from PBE-GGA.

Summary:
Space-group type: Pm-3m (221)
Crystal system: cubic
Size of the total moment, Bohr magnetons per cell: 9.1
Formation energy from raw total energies, eV/atom: 0.74
Calculated volume, Å³ per cell: 83

extended XYZ file:
```
5
Lattice="4.3643 0.0000 0.0000 0.0000 4.3643 0.0000 0.0000 0.0000 4.3643" Properties=species:S:1:pos:R:3 pbc="T T T"
Mn 0.0000 2.1822 0.0000
Mn 2.1822 0.0000 0.0000
Si 0.0000 0.0000 0.0000
Mn 0.0000 0.0000 2.1822
Cu 2.1822 2.1822 2.1822
```

***

Here is crystalline Mn2CuSi at its relaxed geometry from the Alexandria database. Energies are from PBE-GGA.

Summary:
Space-group type: I-42d (122)
Crystal system: tetragonal
Size of the total moment, Bohr magnetons per cell: 9.9
Formation energy from raw total energies, eV/atom: 0.32
Calculated volume, Å³ per cell: 107

extended XYZ file:
```
8
Lattice="6.5319 0.0000 0.0000 0.0000 6.5319 0.0000 3.2659 3.2659 2.5091" Properties=species:S:1:pos:R:3 pbc="T T T"
Si 3.2659 3.2659 0.0000
Mn 8.1648 8.0873 1.8818
Mn 4.8989 4.9764 1.8818
Mn 1.7105 4.8989 0.6273
Mn 4.8214 1.6330 0.6273
Si 3.2659 6.5319 1.2545
Cu 6.5319 3.2659 1.2545
Cu 0.0000 0.0000 0.0000
```

***

Here is crystalline Mn2CuSi2 at its relaxed geometry from the Alexandria database. Energies are from PBE-GGA.

Summary:
Space-group type: P4/mbm (127)
Crystal system: tetragonal
Size of the total moment, Bohr magnetons per cell: 6.2
Formation energy from raw total energies, eV/atom: -0.18
Calculated volume, Å³ per cell: 121

extended XYZ file:
```
10
Lattice="-5.0612 -0.7644 -4.1577 -3.1500 -3.6435 4.5043 -1.1883 2.2942 1.0247" Properties=species:S:1:pos:R:3 pbc="T T T"
Si -4.5070 -3.3957 2.3759
Cu -4.1056 -2.2040 0.1733
Cu 0.0000 0.0000 0.0000
Mn -5.9877 -0.7720 -1.4456
Mn -2.8355 0.3292 -0.2557
Mn -6.5639 -2.4429 1.6270
Si -3.7041 -1.0122 -2.0293
Si -1.8481 -1.4103 1.0142
Si -6.3630 -2.9977 -0.6676
Mn -3.4117 -1.3417 2.8170
```

***

Here is crystalline MnCu2Si at its relaxed geometry from the Alexandria database. Energies are from PBE-GGA.

Summary:
Space-group type: Amm2 (38)
Crystal system: orthorhombic
Size of the total moment, Bohr magnetons per cell: 2.6
Formation energy from raw total energies, eV/atom: -0.08
Calculated volume, Å³ per cell: 49

extended XYZ file:
```
4
Lattice="-2.7148 1.8734 -1.8579 -1.6409 -2.0355 0.3452 -2.3617 0.9515 4.4102" Properties=species:S:1:pos:R:3 pbc="T T T"
Cu -1.3575 -1.6246 0.3454
Si -4.6282 -0.3084 2.5947
Cu -2.2179 0.7471 0.1372
Mn -2.1559 -0.6022 2.5429
```

***

Here is crystalline MnCu2Si at its relaxed geometry from the Alexandria database. Energies are from PBE-GGA.

Summary:
Space-group type: Cmmm (65)
Crystal system: orthorhombic
Size of the total moment, Bohr magnetons per cell: 2.8
Formation energy from raw total energies, eV/atom: 0.08
Calculated volume, Å³ per cell: 50

extended XYZ file:
```
4
Lattice="4.4714 -0.0179 0.0000 -1.7251 4.1252 0.0000 0.0000 0.0000 2.7242" Properties=species:S:1:pos:R:3 pbc="T T T"
Cu 0.0000 0.0000 0.0000
Cu 1.3731 2.0536 0.0000
Mn 2.2357 -0.0090 1.3621
Si -0.8625 2.0626 1.3621
```

***

Here is crystalline Mn2CuSi at its relaxed geometry from the Alexandria database. Energies are from PBE-GGA.

Summary:
Space-group type: Imm2 (44)
Crystal system: orthorhombic
Size of the total moment, Bohr magnetons per cell: 5.3
Formation energy from raw total energies, eV/atom: 0.00
Calculated volume, Å³ per cell: 49

extended XYZ file:
```
4
Lattice="-2.6850 3.9543 1.2893 -4.4382 -0.6658 2.0898 4.8898 -0.7384 0.2288" Properties=species:S:1:pos:R:3 pbc="T T T"
Cu -1.6599 0.1685 2.0538
Mn -0.5965 2.3923 1.5650
Mn -0.0183 0.0085 0.0087
Si -3.5202 1.6252 1.6699
```

***

formation energy from raw total energies of number 2 (Mn3CuSi)?
0.95 eV/atom

***

Which of these has the lowest size of the total moment?
number 6